Crystalline Cu4PbAu at its relaxed geometry, computed with PBE-GGA.

```
Cu4PbAu
1.0
-3.803 -2.946 1.633
-2.992 1.583 3.788
-4.815 1.312 -0.945
Cu Pb Au
4 1 1
Cartesian
-4.844 -0.691 3.275 Cu
-5.760 -0.827 0.897 Cu
-7.263 -0.032 2.800 Cu
-5.353 1.448 1.980 Cu
-2.903 -0.013 1.119 Pb
0.000 0.000 0.000 Au
```

Results
Final energy (eV/atom): -3.82